No. 1
The following is a meta-GGA SCAN calculation of a PBEsol-optimized structure of MnNbSbC2, from the Alexandria database.

POSCAR file:
```
MnNbSbC2
1.0
4.116 0.000 0.000
0.000 4.116 0.000
0.000 0.000 5.094
Sb Nb Mn C
1 1 1 2
Direct
0.500 0.500 0.500 Sb
0.000 0.000 0.000 Nb
0.000 0.000 0.500 Mn
0.000 0.500 0.000 C
0.500 0.000 0.000 C
```

Summary:
Formation energy from raw total energies, eV per atom: 1.57


No. 2
The following is a meta-GGA SCAN calculation of a PBEsol-optimized structure of MnCO3, from the Alexandria database.

POSCAR file:
```
MnCO3
1.0
-3.137 0.527 2.052
1.199 -3.693 2.781
1.524 3.817 4.408
C Mn O
2 2 6
Direct
0.500 0.816 0.250 C
0.500 0.184 0.750 C
0.000 0.316 0.250 Mn
0.000 0.684 0.750 Mn
0.500 0.088 0.250 O
0.500 0.912 0.750 O
0.767 0.679 0.114 O
0.233 0.321 0.886 O
0.767 0.321 0.614 O
0.233 0.679 0.386 O
```

Summary:
Formation energy from raw total energies, eV per atom: -1.75


No. 3
The following is a meta-GGA SCAN calculation of a PBEsol-optimized structure of MnCO3, from the Alexandria database.

POSCAR file:
```
MnCO3
1.0
-4.134 -0.897 2.011
-1.580 -3.424 -4.158
2.654 -3.829 3.131
Mn C O
2 2 6
Direct
0.000 0.000 0.000 Mn
0.500 0.000 0.000 Mn
0.250 0.232 0.232 C
0.750 0.768 0.768 C
0.234 0.057 0.766 O
0.250 0.387 0.387 O
0.266 0.766 0.057 O
0.766 0.943 0.234 O
0.750 0.613 0.613 O
0.734 0.234 0.943 O
```

Summary:
Formation energy from raw total energies, eV per atom: -0.80


No. 4
The following is a meta-GGA SCAN calculation of a PBEsol-optimized structure of MnCO3, from the Alexandria database.

POSCAR file:
```
MnCO3
1.0
4.761 0.000 0.000
2.381 4.123 0.000
2.381 1.374 5.139
C Mn O
2 2 6
Direct
0.250 0.250 0.250 C
0.750 0.750 0.750 C
0.500 0.500 0.500 Mn
0.000 0.000 0.000 Mn
0.750 0.478 0.750 O
0.522 0.978 0.250 O
0.022 0.750 0.750 O
0.978 0.250 0.250 O
0.478 0.022 0.750 O
0.250 0.522 0.250 O
```

Summary:
Formation energy from raw total energies, eV per atom: -1.45


No. 5
The following is a meta-GGA SCAN calculation of a PBEsol-optimized structure of Mn3PC, from the Alexandria database.

POSCAR file:
```
Mn3PC
1.0
-0.602 0.145 3.638
0.027 -3.687 0.152
3.641 0.052 0.600
P C Mn
1 1 3
Direct
0.500 0.500 0.500 P
0.000 0.000 0.000 C
0.000 0.500 0.000 Mn
0.000 0.000 0.500 Mn
0.500 0.000 0.000 Mn
```

Summary:
Formation enthalpy at 0 K, kJ/mol of formula units: 41


No. 6
The following is a meta-GGA SCAN calculation of a PBEsol-optimized structure of MnP2CS, from the Alexandria database.

POSCAR file:
```
MnP2CS
1.0
3.924 0.000 0.000
0.000 3.924 0.000
0.000 0.000 4.098
P S Mn C
2 1 1 1
Direct
0.000 0.500 0.000 P
0.500 0.000 0.000 P
0.000 0.000 0.500 S
0.500 0.500 0.500 Mn
0.000 0.000 0.000 C
```

Summary:
Formation energy from raw total energies, eV per atom: 1.06


No. 7
The following is a meta-GGA SCAN calculation of a PBEsol-optimized structure of ScMnPC2, from the Alexandria database.

POSCAR file:
```
ScMnPC2
1.0
3.754 0.000 0.000
0.000 3.754 0.000
0.000 0.000 4.184
Sc P C Mn
1 1 2 1
Direct
0.500 0.500 0.500 Sc
0.000 0.000 0.000 P
0.000 0.500 0.000 C
0.500 0.000 0.000 C
0.000 0.000 0.500 Mn
```

Summary:
Formation enthalpy at 0 K, kJ/mol of formula units: 592


No. 8
The following is a meta-GGA SCAN calculation of a PBEsol-optimized structure of MnPbC3, from the Alexandria database.

POSCAR file:
```
MnPbC3
1.0
4.364 0.000 0.000
0.000 4.364 0.000
0.000 0.000 4.364
Pb C Mn
1 3 1
Direct
0.000 0.000 0.000 Pb
0.000 0.500 0.000 C
0.000 0.000 0.500 C
0.500 0.000 0.000 C
0.500 0.500 0.500 Mn
```

Summary:
Formation enthalpy at 0 K, kJ/mol of formula units: 1596


No. 9
The following is a meta-GGA SCAN calculation of a PBEsol-optimized structure of Pr12Mn5C15, from the Alexandria database.

POSCAR file:
```
Pr12Mn5C15
1.0
-0.149 1.764 -4.987
-7.097 -7.619 -2.482
-3.386 9.541 3.475
Pr Mn C
12 5 15
Direct
0.500 0.206 0.206 Pr
0.500 0.000 0.794 Pr
0.500 0.794 0.000 Pr
0.000 0.728 0.187 Pr
0.000 0.459 0.272 Pr
0.000 0.541 0.813 Pr
0.000 0.813 0.541 Pr
0.000 0.187 0.728 Pr
0.000 0.272 0.459 Pr
0.500 0.577 0.577 Pr
0.500 0.000 0.423 Pr
0.500 0.423 0.000 Pr
0.000 0.846 0.846 Mn
0.000 0.000 0.154 Mn
0.000 0.154 0.000 Mn
0.500 0.667 0.333 Mn
0.500 0.333 0.667 Mn
0.000 0.680 0.680 C
0.000 0.000 0.320 C
0.000 0.320 0.000 C
0.000 0.190 0.190 C
0.000 0.000 0.810 C
0.000 0.810 0.000 C
0.000 0.554 0.554 C
0.000 0.000 0.446 C
0.000 0.446 0.000 C
0.500 0.711 0.195 C
0.500 0.484 0.289 C
0.500 0.516 0.805 C
0.500 0.805 0.516 C
0.500 0.195 0.711 C
0.500 0.289 0.484 C
```

Summary:
Formation enthalpy at 0 K, kJ/mol of formula units: -950


No. 10
The following is a meta-GGA SCAN calculation of a PBEsol-optimized structure of Pr2Mn17C2, from the Alexandria database.

POSCAR file:
```
Pr2Mn17C2
1.0
-2.393 -5.372 2.403
5.597 -2.678 1.397
-0.405 3.390 5.366
Pr Mn C
2 17 2
Direct
0.661 0.641 0.359 Pr
0.339 0.359 0.641 Pr
0.000 0.736 0.736 Mn
0.279 0.993 0.278 Mn
0.721 0.278 0.993 Mn
0.721 0.007 0.722 Mn
0.279 0.722 0.007 Mn
0.000 0.264 0.264 Mn
0.500 0.000 0.000 Mn
0.000 0.500 0.000 Mn
0.000 0.000 0.500 Mn
0.337 0.337 0.132 Mn
0.870 0.344 0.656 Mn
0.337 0.868 0.663 Mn
0.663 0.663 0.868 Mn
0.130 0.656 0.344 Mn
0.663 0.132 0.337 Mn
0.906 0.905 0.095 Mn
0.094 0.095 0.905 Mn
0.500 0.000 0.500 C
0.500 0.500 0.000 C
```

Summary:
Formation enthalpy at 0 K, kJ/mol of formula units: -146


No. 11
The following is a meta-GGA SCAN calculation of a PBEsol-optimized structure of RbMn3C, from the Alexandria database.

POSCAR file:
```
RbMn3C
1.0
4.690 0.000 0.000
0.000 4.690 0.000
0.000 0.000 4.690
C Mn Rb
1 3 1
Direct
0.500 0.500 0.500 C
0.000 0.500 0.000 Mn
0.000 0.000 0.500 Mn
0.500 0.000 0.000 Mn
0.000 0.000 0.000 Rb
```

Summary:
Formation enthalpy at 0 K, kJ/mol of formula units: 1644


No. 12
The following is a meta-GGA SCAN calculation of a PBEsol-optimized structure of RbMn2C2, from the Alexandria database.

POSCAR file:
```
RbMn2C2
1.0
-3.019 -1.124 -1.915
1.017 -3.573 0.494
-2.210 2.150 5.888
C Mn Rb
2 2 1
Direct
0.250 0.750 0.500 C
0.750 0.250 0.500 C
0.255 0.255 0.510 Mn
0.745 0.745 0.490 Mn
0.000 0.000 0.000 Rb
```

Summary:
Formation enthalpy at 0 K, kJ/mol of formula units: 204